Entry 1:
## Tb8PdPt5 (PBE)

Data for an optimized crystal structure of Tb8PdPt5.

Summary:
Formation energy from the elements   -100 kJ per mole of atoms
Total magnetic moment   0.000 μB per cell

```
Tb8PdPt5
1.0
-6.135 -0.650 -4.437
5.136 -5.229 -2.005
-1.987 -1.061 7.257
Tb Pd Pt
8 1 5
Cartesian
3.081 -4.015 -2.051 Tb
-6.972 -2.092 0.762 Tb
-4.037 -2.176 -1.116 Tb
-3.677 -3.301 2.823 Tb
-0.377 -3.864 -1.637 Tb
-1.072 -5.914 1.809 Tb
-1.007 -1.860 1.109 Tb
2.121 -4.539 1.559 Tb
-0.456 -3.573 3.331 Pd
1.655 -2.101 0.149 Pt
-1.348 -5.419 -3.826 Pt
-2.648 -4.419 -0.026 Pt
-4.061 -0.856 1.410 Pt
-3.631 -1.942 5.333 Pt
```

=====

Entry 2:
## Tb2Pd2Pt3 (PBE)

Data for an optimized crystal structure of Tb2Pd2Pt3.

Summary:
Formation energy from the elements   -74 kJ per mole of atoms
Total magnetic moment   0.000 μB per cell
ΔE to the lowest computed polymorph   0.507 eV/f.u.

```
Tb2Pd2Pt3
1.0
-3.482 -1.371 0.533
4.013 -3.755 3.153
-1.349 4.936 3.880
Tb Pd Pt
2 2 3
Cartesian
-1.403 0.451 5.392 Tb
0.585 -0.641 2.174 Tb
-0.202 -3.114 4.070 Pd
-0.615 2.924 3.496 Pd
-1.741 -0.685 0.267 Pt
-1.903 0.633 2.596 Pt
1.085 -0.823 4.971 Pt
```

=====

Entry 3:
## Tb8Pd3Pt2 (PBE)

Data for an optimized crystal structure of Tb8Pd3Pt2.

Summary:
Formation energy from the elements   -68 kJ per mole of atoms
Total magnetic moment   0.000 μB per cell

```
Tb8Pd3Pt2
1.0
-3.966 -2.305 -4.592
3.939 -6.179 -0.301
-5.240 0.699 6.433
Tb Pd Pt
8 3 2
Cartesian
-1.858 -5.390 -3.033 Tb
-3.409 -2.396 4.573 Tb
-4.622 -2.853 -1.925 Tb
-0.645 -4.933 3.466 Tb
-3.892 -4.756 1.705 Tb
-5.876 -1.645 1.857 Tb
0.609 -6.141 -0.316 Tb
-1.375 -3.029 -0.165 Tb
-1.983 -1.153 -2.296 Pd
0.729 -1.144 -0.056 Pd
3.210 -5.035 -0.245 Pd
-2.992 -2.000 1.905 Pt
-2.275 -5.786 -0.364 Pt
```

=====

Question: What is the formula in the third record?
Answer: Tb8Pd3Pt2

=====

Question: Look up the total magnetic moment of the third one.
Answer: 0.000 μB per cell